(P)
Material: Tb2HgRu
Method: DFT, PBE-GGA
State: optimized geometry

Summary:
**Spin magnetization**: 0.0 μB/f.u.

Lattice parameters (Å, degrees): 3.4896 3.4896 7.5669 90.00 90.00 90.00
Space group P4/mmm (No. 123)
Unique sites:
Tb 0.0000 0.0000 0.2200 (multiplicity 2)
Hg 0.5000 0.5000 0.5000 (multiplicity 1)
Ru 0.5000 0.5000 0.0000 (multiplicity 1)

***

(Q)
Material: Tb2HgRu
Method: DFT, PBE-GGA
State: optimized geometry

Summary:
**Spin magnetization**: 0.0 μB/f.u.

Lattice parameters (Å, degrees): 3.8179 3.8179 24.4651 90.00 90.00 120.00
Space group R-3m (No. 166, hexagonal axes)
Unique sites:
Tb 0.0000 0.0000 0.2348 (multiplicity 6)
Hg 0.0000 0.0000 0.0000 (multiplicity 3)
Ru 0.0000 0.0000 0.5000 (multiplicity 3)

***

(R)
Material: Tb2HgRu
Method: DFT, PBE-GGA
State: optimized geometry

Summary:
**Spin magnetization**: 0.0 μB/f.u.

Lattice parameters (Å, degrees): 7.1402 7.1402 7.1402 90.00 90.00 90.00
Space group Fm-3m (No. 225)
Unique sites:
Tb 0.2500 0.2500 0.2500 (multiplicity 8)
Hg 0.0000 0.0000 0.0000 (multiplicity 4)
Ru 0.0000 0.0000 0.5000 (multiplicity 4)

***

Which one sits at the top of the stability order? (P) does.